Density functional theory data (PBE with a Hubbard U) for a relaxed structure of LiMnPO5.

The structure in POSCAR format:
```
LiMnPO5
1.0
7.118 0.000 0.000
0.000 6.289 0.000
0.000 0.000 7.439
Li Mn P O
4 4 4 20
Cartesian
0.000 0.000 0.000
0.000 3.145 0.000
3.559 0.000 3.719
3.559 3.145 3.719
0.998 1.572 2.007
2.561 4.717 5.726
4.557 1.572 1.713
6.120 4.717 5.432
0.880 4.717 2.830
2.679 1.572 6.550
4.439 4.717 0.889
6.238 1.572 4.609
0.438 1.572 3.805
0.768 4.717 6.248
0.923 3.509 1.862
0.923 5.925 1.862
1.433 1.572 0.041
2.127 4.717 3.760
2.636 0.364 5.581
2.636 2.781 5.581
2.792 1.572 2.529
3.122 4.717 0.085
3.997 1.572 7.354
4.327 4.717 4.910
4.482 3.509 1.858
4.482 5.925 1.858
4.992 1.572 3.679
5.686 4.717 7.398
6.195 0.364 5.577
6.195 2.781 5.577
6.351 1.572 1.191
6.681 4.717 3.634
```

Computed properties:
* Fermi-level density of states: 0.39 states/eV/f.u.
* VASP energy: -6.845 eV per atom
* magnetization: 12.00 Bohr magnetons per cell
* space-group type: No. 62